No. 1
Here is an optimized crystal structure of CoRh4 from Alexandria via LeMat-Bulk. Energies are from PBEsol.

Unit cell a=8.727 b=2.648 c=6.439 alpha=90.00 beta=120.01 gamma=90.00
Space group C2/m (No. 12)
Asymmetric unit:
Co1 0.000 0.000 0.000 x2
Rh1 0.098 0.500 0.394 x4
Rh2 0.205 0.000 0.805 x4

## Properties
formation energy from the elements: 41 meV per atom



No. 2
Here is an optimized crystal structure of ReAsPBr2 from Alexandria via LeMat-Bulk. Energies are from PBEsol.

Unit cell a=5.017 b=5.017 c=4.772 alpha=90.00 beta=90.00 gamma=90.00
Space group P4/mmm (No. 123)
Asymmetric unit:
Re1 0.000 0.000 0.000 x1
As1 0.000 0.000 0.500 x1
P1 0.500 0.500 0.500 x1
Br1 0.000 0.500 0.000 x2

## Properties
total energy: -22.7 eV per cell



No. 3
Here is an optimized crystal structure of Li2HgSe from Alexandria via LeMat-Bulk. Energies are from PBEsol.

Unit cell a=3.919 b=3.919 c=9.531 alpha=90.00 beta=90.00 gamma=90.00
Space group I-4m2 (No. 119)
Asymmetric unit:
Li1 0.000 0.000 0.000 x2
Li2 0.000 0.500 0.250 x2
Hg1 0.000 0.500 0.750 x2
Se1 0.000 0.000 0.500 x2

## Properties
total energy: -21.7 eV per cell



No. 4
Here is an optimized crystal structure of LaYCd4 from Alexandria via LeMat-Bulk. Energies are from PBEsol.

Unit cell a=8.312 b=8.312 c=8.312 alpha=90.00 beta=90.00 gamma=90.00
Space group F-43m (No. 216)
Asymmetric unit:
La1 0.000 0.000 0.000 x4
Y1 0.250 0.250 0.750 x4
Cd1 0.125 0.125 0.375 x16

## Properties
formation energy from the elements: -333 meV per atom



- Number 4 is which compound?
  LaYCd4